Entry 1:
Computed, not measured: a crystal of Nd12Ni6Pb relaxed with PBEsol at the SCAN level of DFT.

Unit cell a=8.5670 b=8.5670 c=8.5670 alpha=109.47 beta=109.47 gamma=109.47
Sites, in units of the cell vectors:
1 Nd 0.1202 0.3068 0.8134
2 Nd 0.1866 0.4934 0.3068
3 Nd 0.1866 0.8798 0.6932
4 Nd 0.3068 0.1866 0.4934
5 Nd 0.3068 0.8134 0.1202
6 Nd 0.4934 0.3068 0.1866
7 Nd 0.5066 0.6932 0.8134
8 Nd 0.6932 0.1866 0.8798
9 Nd 0.6932 0.8134 0.5066
10 Nd 0.8134 0.1202 0.3068
11 Nd 0.8134 0.5066 0.6932
12 Nd 0.8798 0.6932 0.1866
13 Ni 0.1214 0.5000 0.6214
14 Ni 0.3786 0.8786 0.5000
15 Ni 0.5000 0.3786 0.8786
16 Ni 0.5000 0.6214 0.1214
17 Ni 0.6214 0.1214 0.5000
18 Ni 0.8786 0.5000 0.3786
19 Pb 0.0000 0.0000 0.0000

Summary:
The size of the total moment comes out at 0.000 μB/f.u. As for the calculated total energy: -702.0 eV per cell. Its space group is Im-3, No. 204.

***

Entry 2:
Computed, not measured: a crystal of NdNiSb relaxed with PBEsol at the SCAN level of DFT.

Unit cell a=4.3139 b=4.3139 c=8.1535 alpha=90.00 beta=90.00 gamma=120.00
Sites, in units of the cell vectors:
1 Nd 0.0000 0.0000 0.0000
2 Nd 0.0000 0.0000 0.5000
3 Ni 0.3333 0.6667 0.2500
4 Ni 0.6667 0.3333 0.7500
5 Sb 0.3333 0.6667 0.7500
6 Sb 0.6667 0.3333 0.2500

Summary:
The calculation puts the formation energy without anion corrections at -2.7 eV/f.u. The size of the total moment comes out at 0.000 μB/f.u. As for the calculated total energy: -199.5 eV per cell. Its space group is P6_3/mmc, No. 194.

***

Entry 3:
Computed, not measured: a crystal of NdNiSb2 relaxed with PBEsol at the SCAN level of DFT.

Unit cell a=4.3463 b=4.3463 c=9.5865 alpha=90.00 beta=90.00 gamma=90.00
Sites, in units of the cell vectors:
1 Nd 0.2500 0.2500 0.2397
2 Nd 0.7500 0.7500 0.7603
3 Ni 0.2500 0.7500 0.0000
4 Ni 0.7500 0.2500 0.0000
5 Sb 0.2500 0.2500 0.8654
6 Sb 0.2500 0.7500 0.5000
7 Sb 0.7500 0.2500 0.5000
8 Sb 0.7500 0.7500 0.1346

Summary:
The calculation puts the formation energy without anion corrections at -3.2 eV/f.u. The size of the total moment comes out at 0.000 μB/f.u. As for the calculated total energy: -275.0 eV per cell. Its space group is P4/nmm, No. 129.

***

Entry 4:
Computed, not measured: a crystal of Nd6Si3Ni2 relaxed with PBEsol at the SCAN level of DFT.

Unit cell a=11.4733 b=4.4406 c=11.5558 alpha=90.00 beta=118.79 gamma=90.00
Sites, in units of the cell vectors:
1 Nd 0.0000 0.0000 0.0000
2 Nd 0.0060 0.5000 0.2364
3 Nd 0.1077 0.5000 0.6047
4 Nd 0.2198 0.5000 0.9819
5 Nd 0.2483 0.0000 0.4553
6 Nd 0.3751 0.0000 0.8420
7 Nd 0.4616 0.0000 0.2053
8 Nd 0.4838 0.5000 0.4435
9 Nd 0.6189 0.0000 0.7278
10 Nd 0.7211 0.0000 0.0778
11 Nd 0.7607 0.5000 0.3501
12 Nd 0.8529 0.5000 0.6935
13 Si 0.0779 0.0000 0.7788
14 Si 0.3950 0.5000 0.6575
15 Si 0.5175 0.5000 0.0590
16 Si 0.5712 0.5000 0.8818
17 Si 0.7996 0.5000 0.9300
18 Si 0.9037 0.0000 0.5419
19 Ni 0.2392 0.2525 0.2244
20 Ni 0.2392 0.7475 0.2244
21 Ni 0.6758 0.0000 0.4833
22 Ni 0.9504 0.0000 0.3646

Summary:
The calculation puts the formation energy without anion corrections at -5.6 eV/f.u. The size of the total moment comes out at 0.001 μB/f.u. As for the calculated total energy: -659.0 eV per cell. Its space group is Pm, No. 6.

***

Entry 5:
Computed, not measured: a crystal of Nd3Si2Ni6 relaxed with PBEsol at the SCAN level of DFT.

Unit cell a=7.6241 b=7.6241 c=7.6241 alpha=109.47 beta=109.47 gamma=109.47
Sites, in units of the cell vectors:
1 Nd 0.0000 0.2847 0.2847
2 Nd 0.0000 0.7153 0.7153
3 Nd 0.2847 0.0000 0.2847
4 Nd 0.2847 0.2847 0.0000
5 Nd 0.7153 0.0000 0.7153
6 Nd 0.7153 0.7153 0.0000
7 Si 0.0000 0.0000 0.5000
8 Si 0.0000 0.5000 0.0000
9 Si 0.5000 0.0000 0.0000
10 Si 0.5000 0.5000 0.5000
11 Ni 0.0000 0.3314 0.6686
12 Ni 0.0000 0.6686 0.3314
13 Ni 0.3314 0.0000 0.6686
14 Ni 0.3314 0.3314 0.6628
15 Ni 0.3314 0.6628 0.3314
16 Ni 0.3314 0.6686 0.0000
17 Ni 0.3372 0.6686 0.6686
18 Ni 0.6628 0.3314 0.3314
19 Ni 0.6686 0.0000 0.3314
20 Ni 0.6686 0.3314 0.0000
21 Ni 0.6686 0.3372 0.6686
22 Ni 0.6686 0.6686 0.3372

Summary:
The calculation puts the formation energy without anion corrections at -5.8 eV/f.u. The size of the total moment comes out at 0.000 μB/f.u. As for the calculated total energy: -507.2 eV per cell. Its space group is Im-3m, No. 229.

***

Entry 6:
Computed, not measured: a crystal of NdSiNi relaxed with PBEsol at the SCAN level of DFT.

Unit cell a=4.0691 b=4.0691 c=13.6527 alpha=90.00 beta=90.00 gamma=90.00
Sites, in units of the cell vectors:
1 Nd 0.0000 0.0000 0.0000
2 Nd 0.0000 0.5000 0.2500
3 Nd 0.5000 0.0000 0.7500
4 Nd 0.5000 0.5000 0.5000
5 Si 0.0000 0.0000 0.5807
6 Si 0.0000 0.5000 0.8307
7 Si 0.5000 0.0000 0.3307
8 Si 0.5000 0.5000 0.0807
9 Ni 0.0000 0.0000 0.4109
10 Ni 0.0000 0.5000 0.6609
11 Ni 0.5000 0.0000 0.1609
12 Ni 0.5000 0.5000 0.9109

Summary:
The calculation puts the formation energy without anion corrections at -2.2 eV/f.u. The size of the total moment comes out at 0.000 μB/f.u. As for the calculated total energy: -288.0 eV per cell. Its space group is I4_1md, No. 109.